Sc4CSe (PBE, optimized geometry); M_tot = 0.000 μB/f.u.; uncorrected energy = -7.0470 eV/atom; offset from the most stable computed form = 37 meV/atom; E_form (uncorrected) = -0.7079 eV/atom
1.0
-0.698 -3.359 -0.603
1.565 0.636 -5.354
5.893 -1.577 1.963
C Se Sc
1 1 4
direct
0.000 0.000 0.000
0.500 0.000 0.500
0.000 0.253 0.288
0.500 0.771 0.119
0.500 0.229 0.881
0.000 0.747 0.712